Record 1
Sm2Dy3Sc4: relaxed, PBE.

Geometry as CIF:
```
data_Sm2Dy3Sc4
_chemical_formula_sum 'Sm8 Dy12 Sc16'
_space_group_name_H-M_alt 'C 1 2/c 1'
_space_group_IT_number 15
_space_group_name_Hall '-C 2yc'
_cell_length_a 16.038
_cell_length_b 11.191
_cell_length_c 5.817
_cell_angle_alpha 90.00
_cell_angle_beta 97.31
_cell_angle_gamma 90.00
loop_
_atom_site_label
_atom_site_type_symbol
_atom_site_fract_x
_atom_site_fract_y
_atom_site_fract_z
Sm1 Sm 0.126 0.135 0.309
Dy1 Dy 0.000 0.116 0.750
Dy2 Dy 0.161 0.395 0.613
Sc1 Sc 0.046 0.371 0.029
Sc2 Sc 0.229 0.138 0.846
```

Results
Energy above the most stable polymorph in this dataset   56 meV per atom
DOS at the Fermi energy   59.44 states/eV per cell
Formation enthalpy at 0 K   112 meV/atom
ρ   6.21 g/cm³
Total energy   -5.29 eV/atom

Record 2
CaDyBiAu: relaxed, PBE.

Geometry as CIF:
```
data_CaDyBiAu
_chemical_formula_sum 'Ca4 Dy4 Bi4 Au4'
_space_group_name_H-M_alt 'F -4 3 m'
_space_group_IT_number 216
_space_group_name_Hall 'F -4 2 3'
_cell_length_a 7.535
_cell_length_b 7.535
_cell_length_c 7.535
_cell_angle_alpha 90.00
_cell_angle_beta 90.00
_cell_angle_gamma 90.00
loop_
_atom_site_label
_atom_site_type_symbol
_atom_site_fract_x
_atom_site_fract_y
_atom_site_fract_z
Ca1 Ca 0.000 0.000 0.000
Dy1 Dy 0.000 0.000 0.500
Bi1 Bi 0.250 0.250 0.750
Au1 Au 0.250 0.250 0.250
```

Results
DOS at the Fermi energy   12.41 states/eV per cell
Formation enthalpy at 0 K   -694 meV/atom
ρ   9.45 g/cm³
Total energy   -4.13 eV/atom

Record 3
RbLiTcF6: relaxed, PBE.

Geometry as CIF:
```
data_RbLiTcF6
_chemical_formula_sum 'Rb2 Li2 Tc2 F12'
_space_group_name_H-M_alt 'P -3 1 c'
_space_group_IT_number 163
_space_group_name_Hall '-P 3 2c'
_cell_length_a 5.4086
_cell_length_b 5.4086
_cell_length_c 12.2996
_cell_angle_alpha 90.00
_cell_angle_beta 90.00
_cell_angle_gamma 120.00
loop_
_atom_site_label
_atom_site_type_symbol
_atom_site_fract_x
_atom_site_fract_y
_atom_site_fract_z
Rb1 Rb 0.0000 0.0000 0.0000
Li1 Li 0.3333 0.6667 0.2500
Tc1 Tc 0.3333 0.6667 0.7500
F1 F 0.0175 0.3806 0.6602
```

Results
DOS at the Fermi energy   0.00 states/eV per cell
ρ   3.24 g/cm³
Formation energy (no corrections)   -2.56 eV per atom
Total energy   -5.28 eV/atom

Record 4
CoRh4: relaxed, PBE.

Geometry as CIF:
```
data_CoRh4
_chemical_formula_sum 'Co2 Rh8'
_space_group_name_H-M_alt 'C 1 2/m 1'
_space_group_IT_number 12
_space_group_name_Hall '-C 2y'
_cell_length_a 8.891
_cell_length_b 2.702
_cell_length_c 6.561
_cell_angle_alpha 90.00
_cell_angle_beta 120.07
_cell_angle_gamma 90.00
loop_
_atom_site_label
_atom_site_type_symbol
_atom_site_fract_x
_atom_site_fract_y
_atom_site_fract_z
Co1 Co 0.000 0.000 0.000
Rh1 Rh 0.099 0.500 0.394
Rh2 Rh 0.205 0.000 0.806
```

Results
Energy above the most stable polymorph in this dataset   11 meV per atom
DOS at the Fermi energy   14.55 states/eV per cell
Formation enthalpy at 0 K   41 meV/atom
ρ   11.46 g/cm³
Total energy   -7.26 eV/atom

Record 5
CsRb2Ga2: relaxed, PBE.

Geometry as CIF:
```
data_CsRb2Ga2
_chemical_formula_sum 'Cs2 Rb4 Ga4'
_space_group_name_H-M_alt 'P 4/m b m'
_space_group_IT_number 127
_space_group_name_Hall '-P 4 2ab'
_cell_length_a 10.583
_cell_length_b 10.583
_cell_length_c 4.132
_cell_angle_alpha 90.00
_cell_angle_beta 90.00
_cell_angle_gamma 90.00
loop_
_atom_site_label
_atom_site_type_symbol
_atom_site_fract_x
_atom_site_fract_y
_atom_site_fract_z
Cs1 Cs 0.000 0.000 0.000
Rb1 Rb 0.132 0.368 0.000
Ga1 Ga 0.163 0.663 0.500
```

Results
Energy above the most stable polymorph in this dataset   177 meV per atom
DOS at the Fermi energy   6.03 states/eV per cell
Formation enthalpy at 0 K   279 meV/atom
ρ   3.18 g/cm³
Total energy   -1.49 eV/atom

Record 6
ReTc2W: relaxed, PBE.

Geometry as CIF:
```
data_ReTc2W
_chemical_formula_sum 'Re1 Tc2 W1'
_space_group_name_H-M_alt 'P 4 m m'
_space_group_IT_number 99
_space_group_name_Hall 'P 4 -2'
_cell_length_a 2.770
_cell_length_b 2.770
_cell_length_c 7.908
_cell_angle_alpha 90.00
_cell_angle_beta 90.00
_cell_angle_gamma 90.00
loop_
_atom_site_label
_atom_site_type_symbol
_atom_site_fract_x
_atom_site_fract_y
_atom_site_fract_z
Re1 Re 0.000 0.000 0.000
Tc1 Tc 0.000 0.000 0.480
Tc2 Tc 0.500 0.500 0.241
W1 W 0.500 0.500 0.739
```

Results
Energy above the most stable polymorph in this dataset   17 meV per atom
DOS at the Fermi energy   4.04 states/eV per cell
Formation enthalpy at 0 K   131 meV/atom
ρ   15.49 g/cm³
Total energy   -11.40 eV/atom